(1)
This record from Alexandria describes a relaxed B7C5 crystal. The functional is PBE-GGA.

a = 2.743 Å, b = 3.790 Å, c = 9.714 Å
α = 78.28°, β = 90.00°, γ = 90.00°
Atoms (fractional coordinates):
B  0.500  0.724  0.220
B  0.000  0.728  0.118
B  0.000  0.860  0.942
B  0.500  0.757  0.042
B  0.500  0.462  0.518
B  0.000  0.971  0.406
B  0.500  0.310  0.763
C  0.000  0.208  0.520
C  0.500  0.812  0.364
C  0.000  0.096  0.794
C  0.000  0.901  0.653
C  0.500  0.672  0.658

As for the space group: Pm, No. 6. The total DFT energy (no corrections) is -88.70 eV/cell. The energy relative to the elements is 4.16 eV per formula unit.

(2)
This record from Alexandria describes a relaxed B7C5 crystal. The functional is PBE-GGA.

a = 2.704 Å, b = 4.762 Å, c = 8.180 Å
α = 90.68°, β = 90.00°, γ = 90.00°
Atoms (fractional coordinates):
B  0.500  0.521  0.241
B  0.500  0.160  0.032
B  0.000  0.687  0.546
B  0.000  0.319  0.558
B  0.000  0.377  0.359
B  0.000  0.938  0.241
B  0.000  0.657  0.027
C  0.500  0.846  0.326
C  0.500  0.489  0.042
C  0.000  0.991  0.048
C  0.500  0.162  0.558
C  0.500  0.852  0.523

As for the space group: Pm, No. 6. The total DFT energy (no corrections) is -88.65 eV/cell. The energy relative to the elements is 4.21 eV per formula unit.

(3)
This record from Alexandria describes a relaxed B7C5 crystal. The functional is PBE-GGA.

a = 2.434 Å, b = 2.456 Å, c = 13.537 Å
α = 90.00°, β = 90.00°, γ = 90.00°
Atoms (fractional coordinates):
B  0.500  0.500  0.849
B  0.500  0.000  0.948
B  0.500  0.000  0.555
B  0.000  0.000  0.656
B  0.000  0.500  0.752
B  0.500  0.500  0.173
B  0.000  0.500  0.398
C  0.500  0.500  0.480
C  0.500  0.000  0.254
C  0.000  0.000  0.316
C  0.000  0.000  0.029
C  0.000  0.500  0.090

As for the space group: Pmm2, No. 25. The total DFT energy (no corrections) is -88.32 eV/cell. The energy relative to the elements is 4.54 eV per formula unit.

(4)
This record from Alexandria describes a relaxed BC crystal. The functional is PBE-GGA.

a = 6.205 Å, b = 6.205 Å, c = 5.335 Å
α = 102.10°, β = 102.10°, γ = 24.29°
Atoms (fractional coordinates):
B  0.020  0.020  0.056
B  0.344  0.344  0.108
B  0.254  0.254  0.406
B  0.995  0.995  0.500
B  0.653  0.653  0.327
B  0.341  0.341  0.709
C  0.920  0.920  0.197
C  0.899  0.899  0.657
C  0.586  0.586  0.556
C  0.237  0.237  0.871
C  0.663  0.663  0.831
C  0.588  0.588  0.031

As for the space group: Cm, No. 8. The total DFT energy (no corrections) is -90.34 eV/cell. The energy relative to the elements is 0.84 eV per formula unit.

(5)
This record from Alexandria describes a relaxed B7C5 crystal. The functional is PBE-GGA.

a = 7.221 Å, b = 7.125 Å, c = 7.125 Å
α = 158.63°, β = 141.03°, γ = 44.80°
Atoms (fractional coordinates):
B  0.016  0.343  0.673
B  0.586  0.288  0.298
B  0.187  0.166  0.021
B  0.968  0.977  0.991
B  0.171  0.781  0.390
B  0.954  0.651  0.302
B  0.482  0.497  0.985
C  0.510  0.163  0.347
C  0.621  0.954  0.668
C  0.520  0.841  0.678
C  0.615  0.628  0.986
C  0.121  0.460  0.661

As for the space group: Cm, No. 8. The total DFT energy (no corrections) is -88.16 eV/cell. The energy relative to the elements is 4.70 eV per formula unit.

(6)
This record from Alexandria describes a relaxed BC crystal. The functional is PBE-GGA.

a = 4.671 Å, b = 4.671 Å, c = 4.671 Å
α = 98.03°, β = 98.03°, γ = 120.58°
Atoms (fractional coordinates):
B  0.370  0.037  0.290
B  0.485  0.494  0.500
B  0.357  0.607  0.951
B  0.828  0.152  0.500
B  0.550  0.217  0.950
B  0.940  0.023  0.951
C  0.160  0.827  0.525
C  0.331  0.318  0.117
C  0.182  0.530  0.612
C  0.651  0.998  0.117
C  0.533  0.199  0.627
C  0.863  0.849  0.612

As for the space group: Cm, No. 8. The total DFT energy (no corrections) is -91.64 eV/cell. The energy relative to the elements is 0.63 eV per formula unit.

(7)
This record from Alexandria describes a relaxed BC crystal. The functional is PBE-GGA.

a = 5.936 Å, b = 5.871 Å, c = 3.555 Å
α = 90.00°, β = 90.00°, γ = 139.63°
Atoms (fractional coordinates):
B  0.230  0.872  0.539
B  0.868  0.710  0.261
B  0.463  0.474  0.488
B  0.371  0.693  0.988
B  0.966  0.457  0.761
B  0.604  0.294  0.039
C  0.130  0.314  0.219
C  0.831  0.156  0.489
C  0.524  0.003  0.255
C  0.309  0.164  0.755
C  0.003  0.011  0.989
C  0.703  0.853  0.719

As for the space group: P2_1, No. 4. The total DFT energy (no corrections) is -90.47 eV/cell. The energy relative to the elements is 0.82 eV per formula unit.

(8)
This record from Alexandria describes a relaxed B7C5 crystal. The functional is PBE-GGA.

a = 4.984 Å, b = 4.984 Å, c = 7.941 Å
α = 111.81°, β = 111.81°, γ = 29.87°
Atoms (fractional coordinates):
B  0.675  0.675  0.351
B  0.497  0.497  0.356
B  0.190  0.190  0.184
B  0.998  0.998  0.995
B  0.630  0.630  0.801
B  0.268  0.268  0.607
B  0.985  0.985  0.523
C  0.345  0.345  0.156
C  0.889  0.889  0.096
C  0.555  0.555  0.943
C  0.149  0.149  0.699
C  0.820  0.820  0.538

As for the space group: Cm, No. 8. The total DFT energy (no corrections) is -87.99 eV/cell. The energy relative to the elements is 4.87 eV per formula unit.

E above lowest polymorph values, unit meV per atom, following the record order: 183; 187; 214; 271; 227; 164; 261; 242.